1.
Below is a relaxed MgInCu4 crystal, with properties calculated at the GGA-PBEsol level.

Density   7.83 g cm⁻³
DOS at the Fermi energy   2.74 states/eV per cell
Energy of formation   -0.117 eV per atom
SG   F-43m

a = 4.905 Å, b = 4.905 Å, c = 4.905 Å
α = 60.00°, β = 60.00°, γ = 60.00°
Fractional positions:
Mg 0.000 0.000 0.000
In 0.750 0.750 0.750
Cu 0.375 0.375 0.375
Cu 0.375 0.375 0.876
Cu 0.375 0.876 0.375
Cu 0.876 0.375 0.375

---

2.
Below is a relaxed CdPtAu2 crystal, with properties calculated at the GGA-PBEsol level.

Density   17.22 g cm⁻³
DOS at the Fermi energy   1.14 states/eV per cell
Energy of formation   -0.092 eV per atom
SG   F-43m

a = 4.574 Å, b = 4.574 Å, c = 4.574 Å
α = 60.00°, β = 60.00°, γ = 60.00°
Fractional positions:
Cd 0.000 0.000 0.000
Pt 0.750 0.750 0.750
Au 0.250 0.250 0.250
Au 0.500 0.500 0.500

---

Q: Which formula does entry 1 have?
A: MgInCu4